[1]
Here is crystalline KTmN at its relaxed geometry from Alexandria via LeMat-Bulk. Energies are from PBE.

a b c (Å): 6.5812 3.6366 6.8372
angles (deg): 90.00 90.23 90.00
Space group P2_1/m (No. 11)
Unique sites:
K 0.2223 0.2500 0.0804 (multiplicity 2)
Tm 0.1875 0.7500 0.5674 (multiplicity 2)
N 0.0324 0.2500 0.6750 (multiplicity 2)

Computed properties:
The value obtained for the magnetization is 0.00 μB per atom. The formation energy without anion corrections is -681 meV/atom. Its raw total energy is -5.31 eV/atom.

***

[2]
Here is crystalline Tl5In4Pb2 at its relaxed geometry from Alexandria via LeMat-Bulk. Energies are from PBE.

a b c (Å): 5.5951 9.4554 13.0717
angles (deg): 90.00 90.00 90.00
Space group Immm (No. 71)
Unique sites:
Tl 0.0000 0.0000 0.0000 (multiplicity 2)
Tl 0.0000 0.1722 0.2376 (multiplicity 8)
In 0.0000 0.1744 0.5000 (multiplicity 4)
In 0.0000 0.5000 0.1154 (multiplicity 4)
Pb 0.0000 0.5000 0.3653 (multiplicity 4)

Computed properties:
The value obtained for the magnetization is 0.00 μB per atom. Its energy above the most stable polymorph in this dataset is 0.0620 eV per atom. Its raw total energy is -2.66 eV/atom.

***

- Which value of magnetization does entry 1 give?
  0.00 μB per atom